1.
HfPbI2 | PBE | optimized geometry

Space group: No. 225
Calculated total energy in eV per atom: -3.910
Uncorrected formation energy in eV per atom: 0.280
Mass density in g/cm3: 9.7

Structure (POSCAR):
```
HfPbI2
1.0
0.000 3.797 3.797
3.797 0.000 3.797
3.797 3.797 0.000
Hf Pb I
1 1 2
direct
0.000 0.000 0.000
0.500 0.500 0.500
0.250 0.250 0.250
0.750 0.750 0.750
```

***

2.
MgTaRu3 | PBE | optimized geometry

Space group: No. 221
Calculated total energy in eV per atom: -6.963
Mass density in g/cm3: 10.1
Energy of formation from the pure elements in eV per atom: 1.2915

Structure (POSCAR):
```
MgTaRu3
1.0
4.368 0.000 0.000
0.000 4.368 0.000
0.000 0.000 4.368
Mg Ta Ru
1 1 3
direct
0.000 0.000 0.000
0.500 0.500 0.500
0.000 0.000 0.500
0.000 0.500 0.000
0.500 0.000 0.000
```

***

3.
ThCu2Ni9 | PBE | optimized geometry

Space group: No. 127
Calculated total energy in eV per atom: -5.801
Mass density in g/cm3: 9.6
Energy of formation from the pure elements in eV per atom: -0.1643

Structure (POSCAR):
```
ThCu2Ni9
1.0
8.052 0.000 0.000
0.000 8.052 0.000
0.000 0.000 4.732
Th Cu Ni
2 4 18
direct
0.000 0.000 0.000
0.500 0.500 0.000
0.113 0.387 0.000
0.387 0.887 0.000
0.613 0.113 0.000
0.887 0.613 0.000
0.000 0.500 0.500
0.065 0.212 0.500
0.179 0.679 0.241
0.179 0.679 0.759
0.212 0.935 0.500
0.288 0.435 0.500
0.321 0.179 0.241
0.321 0.179 0.759
0.435 0.712 0.500
0.500 0.000 0.500
0.565 0.288 0.500
0.679 0.821 0.241
0.679 0.821 0.759
0.712 0.565 0.500
0.788 0.065 0.500
0.821 0.321 0.241
0.821 0.321 0.759
0.935 0.788 0.500
```